No. 1
The following is a PBE calculation of crystalline BaMgIn2Pd at its relaxed geometry, from Alexandria via LeMat-Bulk.

Properties
Its space-group type is P4/mmm, No. 123. The calculation puts the formation energy at -0.406 eV/atom. For the magnetization, the calculation gives 0.0000 μB per atom.

Lattice parameters (Å, degrees): 5.2693 5.2693 5.1392 90.00 90.00 90.00
Closest atoms and distances in Å follow each position.
Positions (direct):
1 Mg 0.0000 0.0000 0.5000  2 Pd 2.57
2 Ba 0.5000 0.5000 0.5000  8 In 3.68, 4 Mg 3.73
3 Pd 0.0000 0.0000 0.0000  2 Mg 2.57, 4 In 2.63
4 In 0.0000 0.5000 0.0000  2 Pd 2.63
5 In 0.5000 0.0000 0.0000  2 Pd 2.63

No. 2
The following is a PBE calculation of crystalline Ba2Mg3In12Pd at its relaxed geometry, from Alexandria via LeMat-Bulk.

Properties
Its space-group type is R-3m, No. 166. The calculation puts the formation energy at -0.129 eV/atom. For the magnetization, the calculation gives 0.0000 μB per atom.

Lattice parameters (Å, degrees): 11.9047 11.9047 11.9047 36.25 36.25 36.25
Closest atoms and distances in Å follow each position.
Positions (direct):
1 Ba 0.6458 0.6458 0.6458  12 In 3.59-3.96
2 Ba 0.3542 0.3542 0.3542  12 In 3.59-3.96
3 Mg 0.5000 0.0000 0.0000  4 In 2.91
4 Mg 0.0000 0.5000 0.0000  4 In 2.91
5 Mg 0.0000 0.0000 0.5000  4 In 2.91
6 In 0.4132 0.4132 0.8300  2 Mg 2.91, 4 In 3.01-3.09
7 In 0.9161 0.9161 0.3534  1 Pd 2.78, 2 In 3.01
8 In 0.3534 0.9161 0.9161  1 Pd 2.78, 2 In 3.01
9 In 0.8300 0.4132 0.4132  2 Mg 2.91, 4 In 3.01-3.09
10 In 0.9161 0.3534 0.9161  1 Pd 2.78, 2 In 3.01
11 In 0.4132 0.8300 0.4132  2 Mg 2.91, 4 In 3.01-3.09
12 In 0.5868 0.5868 0.1700  2 Mg 2.91, 4 In 3.01-3.09
13 In 0.0839 0.0839 0.6466  1 Pd 2.78, 2 In 3.01
14 In 0.6466 0.0839 0.0839  1 Pd 2.78, 2 In 3.01
15 In 0.1700 0.5868 0.5868  2 Mg 2.91, 4 In 3.01-3.09
16 In 0.0839 0.6466 0.0839  1 Pd 2.78, 2 In 3.01
17 In 0.5868 0.1700 0.5868  2 Mg 2.91, 4 In 3.01-3.09
18 Pd 0.0000 0.0000 0.0000  6 In 2.78

No. 3
The following is a PBE calculation of crystalline BaPmMg2In2 at its relaxed geometry, from Alexandria via LeMat-Bulk.

Properties
Its space-group type is P-3m1, No. 164. The calculation puts the formation energy at -0.360 eV/atom. For the magnetization, the calculation gives 0.0000 μB per atom.

Lattice parameters (Å, degrees): 5.0895 5.0895 8.3761 90.00 90.00 120.00
Closest atoms and distances in Å follow each position.
Positions (direct):
1 Ba 0.0000 0.0000 0.0000  6 In 3.86, 6 Mg 3.92, 2 Pm 4.19
2 Pm 0.0000 0.0000 0.5000  6 Mg 3.35, 6 In 3.39
3 Mg 0.3333 0.6667 0.6910  4 In 2.94-3.29
4 Mg 0.6667 0.3333 0.3090  4 In 2.94-3.29
5 In 0.3333 0.6667 0.2982  4 Mg 2.94-3.29
6 In 0.6667 0.3333 0.7018  4 Mg 2.94-3.29

No. 4
The following is a PBE calculation of crystalline BaPmMgIn at its relaxed geometry, from Alexandria via LeMat-Bulk.

Properties
Its space-group type is F-43m, No. 216. The calculation puts the formation energy at -0.179 eV/atom. For the magnetization, the calculation gives 0.0002 μB per atom.

Lattice parameters (Å, degrees): 5.7415 5.7415 5.7415 60.00 60.00 60.00
Closest atoms and distances in Å follow each position.
Positions (direct):
1 Mg 0.0000 0.0000 0.0000  4 Ba 3.52, 4 Pm 3.52
2 In 0.5000 0.5000 0.5000  4 Ba 3.52, 4 Pm 3.52
3 Ba 0.7500 0.7500 0.7500  4 Mg 3.52, 4 In 3.52
4 Pm 0.2500 0.2500 0.2500  4 In 3.52, 4 Mg 3.52

No. 5
The following is a PBE calculation of crystalline BaPrMg2In2 at its relaxed geometry, from Alexandria via LeMat-Bulk.

Properties
Its space-group type is P-3m1, No. 164. The calculation puts the formation energy at -0.365 eV/atom. For the magnetization, the calculation gives 0.0000 μB per atom.

Lattice parameters (Å, degrees): 5.1185 5.1185 8.4089 90.00 90.00 120.00
Closest atoms and distances in Å follow each position.
Positions (direct):
1 Ba 0.0000 0.0000 0.0000  6 In 3.87, 6 Mg 3.93, 2 Pr 4.20
2 Pr 0.0000 0.0000 0.5000  6 Mg 3.37, 6 In 3.41
3 Mg 0.3333 0.6667 0.6925  3 In 2.96
4 Mg 0.6667 0.3333 0.3075  3 In 2.96
5 In 0.3333 0.6667 0.2969  3 Mg 2.96
6 In 0.6667 0.3333 0.7031  3 Mg 2.96

No. 6
The following is a PBE calculation of crystalline BaPrMgIn at its relaxed geometry, from Alexandria via LeMat-Bulk.

Properties
Its space-group type is F-43m, No. 216. The calculation puts the formation energy at -0.194 eV/atom. For the magnetization, the calculation gives 0.0000 μB per atom.

Lattice parameters (Å, degrees): 5.7763 5.7763 5.7763 60.00 60.00 60.00
Closest atoms and distances in Å follow each position.
Positions (direct):
1 Pr 0.2500 0.2500 0.2500  4 Mg 3.54, 4 In 3.54
2 Mg 0.0000 0.0000 0.0000  4 Ba 3.54, 4 Pr 3.54
3 Ba 0.7500 0.7500 0.7500  4 In 3.54, 4 Mg 3.54
4 In 0.5000 0.5000 0.5000  4 Pr 3.54, 4 Ba 3.54

No. 7
The following is a PBE calculation of crystalline Ba2MgIn3Pt4 at its relaxed geometry, from Alexandria via LeMat-Bulk.

Properties
Its space-group type is P-4m2, No. 115. The calculation puts the formation energy at -0.692 eV/atom. For the magnetization, the calculation gives 0.0000 μB per atom.

Lattice parameters (Å, degrees): 4.7719 4.7719 10.8882 90.00 90.00 90.00
Closest atoms and distances in Å follow each position.
Positions (direct):
1 Ba 0.5000 0.0000 0.2390  8 Pt 3.53-3.68, 7 In 3.61-3.93, 2 Mg 3.71
2 Ba 0.0000 0.5000 0.7610  8 Pt 3.53-3.68, 7 In 3.61-3.93, 2 Mg 3.71
3 Mg 0.5000 0.5000 0.5000  4 Pt 2.76
4 In 0.0000 0.0000 0.5000  4 Pt 2.76
5 In 0.5000 0.0000 0.8778  5 Pt 2.73
6 In 0.0000 0.5000 0.1222  5 Pt 2.73
7 Pt 0.5000 0.5000 0.0000  4 In 2.73
8 Pt 0.0000 0.0000 0.0000  4 In 2.73
9 Pt 0.5000 0.0000 0.6268  3 In 2.73-2.76, 2 Mg 2.76
10 Pt 0.0000 0.5000 0.3732  3 In 2.73-2.76, 2 Mg 2.76

No. 8
The following is a PBE calculation of crystalline Ba2MgInPt at its relaxed geometry, from Alexandria via LeMat-Bulk.

Properties
The excess energy over the best structure of this formula in the dataset comes out at 0 meV/atom. Its space-group type is P4/mmm, No. 123. The calculation puts the formation energy at -0.417 eV/atom. For the magnetization, the calculation gives 0.0000 μB per atom.

Lattice parameters (Å, degrees): 6.1330 6.1330 5.1050 90.00 90.00 90.00
Closest atoms and distances in Å follow each position.
Positions (direct):
1 Mg 0.0000 0.0000 0.5000  2 Pt 2.55
2 Ba 0.0000 0.5000 0.0000  2 Pt 3.07
3 Ba 0.5000 0.0000 0.0000  2 Pt 3.07
4 Pt 0.0000 0.0000 0.0000  2 Mg 2.55
5 In 0.5000 0.5000 0.5000  8 Ba 3.99, 4 Mg 4.34

No. 9
The following is a PBE calculation of crystalline BaMgIn2Pt at its relaxed geometry, from Alexandria via LeMat-Bulk.

Properties
Its space-group type is P4/mmm, No. 123. The calculation puts the formation energy at -0.460 eV/atom. For the magnetization, the calculation gives 0.0000 μB per atom.

Lattice parameters (Å, degrees): 5.2662 5.2662 5.1542 90.00 90.00 90.00
Closest atoms and distances in Å follow each position.
Positions (direct):
1 Mg 0.0000 0.0000 0.5000  2 Pt 2.58
2 Ba 0.5000 0.5000 0.5000  8 In 3.68, 4 Mg 3.72
3 Pt 0.0000 0.0000 0.0000  2 Mg 2.58, 4 In 2.63
4 In 0.0000 0.5000 0.0000  2 Pt 2.63
5 In 0.5000 0.0000 0.0000  2 Pt 2.63

No. 10
The following is a PBE calculation of crystalline Ba2MgIn12Pt3 at its relaxed geometry, from Alexandria via LeMat-Bulk.

Properties
Its space-group type is R-3m, No. 166. The calculation puts the formation energy at -0.163 eV/atom. For the magnetization, the calculation gives 0.0000 μB per atom.

Lattice parameters (Å, degrees): 8.7951 8.7951 8.7951 69.73 69.73 69.73
Closest atoms and distances in Å follow each position.
Positions (direct):
1 Ba 0.5979 0.5979 0.5979  6 In 3.49-3.89, 1 Ba 3.88
2 Ba 0.4021 0.4021 0.4021  6 In 3.49-3.89, 1 Ba 3.88
3 Mg 0.0000 0.0000 0.0000  6 In 3.00
4 In 0.2823 0.2823 0.8901  2 Pt 2.66
5 In 0.8627 0.8627 0.3686  1 Pt 2.68, 1 Mg 3.00
6 In 0.3686 0.8627 0.8627  1 Pt 2.68, 1 Mg 3.00
7 In 0.8901 0.2823 0.2823  2 Pt 2.66
8 In 0.8627 0.3686 0.8627  1 Pt 2.68, 1 Mg 3.00
9 In 0.2823 0.8901 0.2823  2 Pt 2.66
10 In 0.7177 0.7177 0.1099  2 Pt 2.66
11 In 0.1373 0.1373 0.6314  1 Pt 2.68, 1 Mg 3.00
12 In 0.6314 0.1373 0.1373  1 Pt 2.68, 1 Mg 3.00
13 In 0.1099 0.7177 0.7177  2 Pt 2.66
14 In 0.1373 0.6314 0.1373  1 Pt 2.68, 1 Mg 3.00
15 In 0.7177 0.1099 0.7177  2 Pt 2.66
16 Pt 0.5000 0.0000 0.0000  6 In 2.66-2.68
17 Pt 0.0000 0.5000 0.0000  6 In 2.66-2.68
18 Pt 0.0000 0.0000 0.5000  6 In 2.66-2.68